Entry P
# Pm5Tl2Sn2 (PBE-GGA, optimized geometry)
# - crystal system = orthorhombic
# - magnetization (μB/f.u.) = 0.00
data_Pm5Tl2Sn2
_space_group_name_H-M_alt 'C m c e'
_space_group_IT_number 64
_space_group_name_Hall '-C 2ac 2'
_cell_length_a 16.243
_cell_length_b 8.293
_cell_length_c 8.292
_cell_angle_alpha 90.00
_cell_angle_beta 90.00
_cell_angle_gamma 90.00
loop_
_atom_site_label
_atom_site_type_symbol
_atom_site_fract_x
_atom_site_fract_y
_atom_site_fract_z
Pm1 Pm 0.000 0.000 0.000
Pm2 Pm 0.135 0.180 0.327
Tl1 Tl 0.212 0.000 0.000
Sn1 Sn 0.000 0.127 0.630

Entry Q
# Pm5Tl2Sn2 (PBE-GGA, optimized geometry)
# - crystal system = orthorhombic
# - magnetization (μB/f.u.) = 0.44
data_Pm5Tl2Sn2
_space_group_name_H-M_alt 'I m a 2'
_space_group_IT_number 46
_cell_length_a 17.733
_cell_length_b 9.799
_cell_length_c 6.327
_cell_angle_alpha 90.00
_cell_angle_beta 90.00
_cell_angle_gamma 90.00
loop_
_space_group_symop_operation_xyz
'x,y,z'
'-x,-y,z'
'-x+1/2,y,z'
'x+1/2,-y,z'
'x+1/2,y+1/2,z+1/2'
'-x+1/2,-y+1/2,z+1/2'
'-x,y+1/2,z+1/2'
'x,-y+1/2,z+1/2'
loop_
_atom_site_label
_atom_site_type_symbol
_atom_site_fract_x
_atom_site_fract_y
_atom_site_fract_z
Pm1 Pm 0.075 0.250 0.000
Pm2 Pm 0.153 0.646 0.250
Pm3 Pm 0.250 0.018 0.250
Tl1 Tl 0.000 0.000 0.751
Tl2 Tl 0.250 0.152 0.750
Sn1 Sn 0.076 0.564 0.750

Verdict on stability: entry Q comes out at the bottom.

Entry P
# Pm5TlSn2 (PBE-GGA, optimized geometry)
# - crystal system = tetragonal
# - magnetization (μB/f.u.) = 0.00
data_Pm5TlSn2
_space_group_name_H-M_alt 'I 4/m m m'
_space_group_IT_number 139
_space_group_name_Hall '-I 4 2'
_cell_length_a 7.039
_cell_length_b 7.039
_cell_length_c 9.453
_cell_angle_alpha 90.00
_cell_angle_beta 90.00
_cell_angle_gamma 90.00
loop_
_atom_site_label
_atom_site_type_symbol
_atom_site_fract_x
_atom_site_fract_y
_atom_site_fract_z
Pm1 Pm 0.000 0.000 0.000
Pm2 Pm 0.250 0.250 0.250
Tl1 Tl 0.000 0.000 0.500
Sn1 Sn 0.000 0.500 0.000

Entry Q
# Pm5TlSn2 (PBE-GGA, optimized geometry)
# - crystal system = tetragonal
# - magnetization (μB/f.u.) = 0.44
data_Pm5TlSn2
_space_group_name_H-M_alt 'I 4/m c m'
_space_group_IT_number 140
_space_group_name_Hall '-I 4 2c'
_cell_length_a 8.290
_cell_length_b 8.290
_cell_length_c 14.503
_cell_angle_alpha 90.00
_cell_angle_beta 90.00
_cell_angle_gamma 90.00
loop_
_atom_site_label
_atom_site_type_symbol
_atom_site_fract_x
_atom_site_fract_y
_atom_site_fract_z
Pm1 Pm 0.000 0.000 0.000
Pm2 Pm 0.166 0.334 0.148
Tl1 Tl 0.000 0.000 0.250
Sn1 Sn 0.134 0.366 0.500

Verdict on stability: entry P comes out at the bottom.

Entry P
# PmTl2Sn (PBE-GGA, optimized geometry)
# - crystal system = tetragonal
# - magnetization (μB/f.u.) = 0.00
data_PmTl2Sn
_space_group_name_H-M_alt 'P 4/m m m'
_space_group_IT_number 123
_space_group_name_Hall '-P 4 2'
_cell_length_a 4.690
_cell_length_b 4.690
_cell_length_c 5.034
_cell_angle_alpha 90.00
_cell_angle_beta 90.00
_cell_angle_gamma 90.00
loop_
_atom_site_label
_atom_site_type_symbol
_atom_site_fract_x
_atom_site_fract_y
_atom_site_fract_z
Pm1 Pm 0.000 0.000 0.000
Tl1 Tl 0.000 0.500 0.500
Sn1 Sn 0.500 0.500 0.000

Entry Q
# PmTl2Sn (PBE-GGA, optimized geometry)
# - crystal system = trigonal
# - magnetization (μB/f.u.) = 0.00
data_PmTl2Sn
_space_group_name_H-M_alt 'R -3 m'
_space_group_IT_number 166
_space_group_name_Hall '-R 3 2"'
_cell_length_a 5.2419
_cell_length_b 5.2419
_cell_length_c 14.6898
_cell_angle_alpha 90.00
_cell_angle_beta 90.00
_cell_angle_gamma 120.00
loop_
_atom_site_label
_atom_site_type_symbol
_atom_site_fract_x
_atom_site_fract_y
_atom_site_fract_z
Pm1 Pm 0.0000 0.0000 0.0000
Tl1 Tl 0.0000 0.0000 0.2437
Sn1 Sn 0.0000 0.0000 0.5000

Verdict on stability: entry Q comes out at the bottom.

Entry P
# PmYTlSn (PBE-GGA, optimized geometry)
# - crystal system = cubic
# - magnetization (μB/f.u.) = 0.00
data_PmYTlSn
_space_group_name_H-M_alt 'F -4 3 m'
_space_group_IT_number 216
_space_group_name_Hall 'F -4 2 3'
_cell_length_a 7.664
_cell_length_b 7.664
_cell_length_c 7.664
_cell_angle_alpha 90.00
_cell_angle_beta 90.00
_cell_angle_gamma 90.00
loop_
_atom_site_label
_atom_site_type_symbol
_atom_site_fract_x
_atom_site_fract_y
_atom_site_fract_z
Pm1 Pm 0.000 0.000 0.000
Y1 Y 0.000 0.000 0.500
Tl1 Tl 0.250 0.250 0.250
Sn1 Sn 0.250 0.250 0.750

Entry Q
# PmYTlSn (PBE-GGA, optimized geometry)
# - crystal system = orthorhombic
# - magnetization (μB/f.u.) = 0.00
data_PmYTlSn
_space_group_name_H-M_alt 'A m m 2'
_space_group_IT_number 38
_cell_length_a 4.380
_cell_length_b 4.618
_cell_length_c 11.609
_cell_angle_alpha 90.00
_cell_angle_beta 90.00
_cell_angle_gamma 90.00
loop_
_space_group_symop_operation_xyz
'x,y,z'
'-x,-y,z'
'-x,y,z'
'x,-y,z'
'x,y+1/2,z+1/2'
'-x,-y+1/2,z+1/2'
'-x,y+1/2,z+1/2'
'x,-y+1/2,z+1/2'
loop_
_atom_site_label
_atom_site_type_symbol
_atom_site_fract_x
_atom_site_fract_y
_atom_site_fract_z
Pm1 Pm 0.000 0.000 0.000
Y1 Y 0.500 0.000 0.729
Tl1 Tl 0.500 0.000 0.456
Sn1 Sn 0.000 0.000 0.275

Verdict on stability: entry P comes out at the bottom.

Entry P
# Pm3Tm2Sn3 (PBE-GGA, optimized geometry)
# - crystal system = orthorhombic
# - magnetization (μB/f.u.) = 0.00
data_Pm3Tm2Sn3
_space_group_name_H-M_alt 'I m m m'
_space_group_IT_number 71
_space_group_name_Hall '-I 2 2'
_cell_length_a 4.358
_cell_length_b 4.950
_cell_length_c 21.254
_cell_angle_alpha 90.00
_cell_angle_beta 90.00
_cell_angle_gamma 90.00
loop_
_atom_site_label
_atom_site_type_symbol
_atom_site_fract_x
_atom_site_fract_y
_atom_site_fract_z
Pm1 Pm 0.000 0.000 0.000
Pm2 Pm 0.000 0.500 0.120
Tm1 Tm 0.000 0.000 0.245
Sn1 Sn 0.000 0.000 0.500
Sn2 Sn 0.000 0.500 0.362

Entry Q
# Pm3Tm2Sn3 (PBE-GGA, optimized geometry)
# - crystal system = hexagonal
# - magnetization (μB/f.u.) = 0.00
data_Pm3Tm2Sn3
_space_group_name_H-M_alt 'P 63/m c m'
_space_group_IT_number 193
_space_group_name_Hall '-P 6c 2'
_cell_length_a 9.0871
_cell_length_b 9.0871
_cell_length_c 6.5979
_cell_angle_alpha 90.00
_cell_angle_beta 90.00
_cell_angle_gamma 120.00
loop_
_atom_site_label
_atom_site_type_symbol
_atom_site_fract_x
_atom_site_fract_y
_atom_site_fract_z
Pm1 Pm 0.0000 0.2417 0.2500
Tm1 Tm 0.3333 0.6667 0.0000
Sn1 Sn 0.0000 0.3982 0.7500

Verdict on stability: entry P comes out at the bottom.

Entry P
# PmTmSn (PBE-GGA, optimized geometry)
# - crystal system = trigonal
# - magnetization (μB/f.u.) = 0.00
data_PmTmSn
_space_group_name_H-M_alt 'P 3 m 1'
_space_group_IT_number 156
_cell_length_a 5.1156
_cell_length_b 5.1156
_cell_length_c 3.9258
_cell_angle_alpha 90.00
_cell_angle_beta 90.00
_cell_angle_gamma 120.00
loop_
_space_group_symop_operation_xyz
'x,y,z'
'-y,x-y,z'
'-x+y,-x,z'
'-y,-x,z'
'-x+y,y,z'
'x,x-y,z'
loop_
_atom_site_label
_atom_site_type_symbol
_atom_site_fract_x
_atom_site_fract_y
_atom_site_fract_z
Pm1 Pm 0.0000 0.0000 0.0000
Tm1 Tm 0.3333 0.6667 0.4528
Sn1 Sn 0.6667 0.3333 0.6303

Entry Q
# PmTmSn (PBE-GGA, optimized geometry)
# - crystal system = orthorhombic
# - magnetization (μB/f.u.) = 0.00
data_PmTmSn
_space_group_name_H-M_alt 'C m m m'
_space_group_IT_number 65
_space_group_name_Hall '-C 2 2'
_cell_length_a 8.557
_cell_length_b 9.405
_cell_length_c 5.863
_cell_angle_alpha 90.00
_cell_angle_beta 90.00
_cell_angle_gamma 90.00
loop_
_atom_site_label
_atom_site_type_symbol
_atom_site_fract_x
_atom_site_fract_y
_atom_site_fract_z
Pm1 Pm 0.000 0.000 0.000
Pm2 Pm 0.000 0.500 0.500
Tm1 Tm 0.000 0.167 0.500
Sn1 Sn 0.159 0.500 0.000

Entry R
# PmTmSn (PBE-GGA, optimized geometry)
# - crystal system = tetragonal
# - magnetization (μB/f.u.) = 0.36
data_PmTmSn
_space_group_name_H-M_alt 'I 4/m m m'
_space_group_IT_number 139
_space_group_name_Hall '-I 4 2'
_cell_length_a 4.608
_cell_length_b 4.608
_cell_length_c 16.849
_cell_angle_alpha 90.00
_cell_angle_beta 90.00
_cell_angle_gamma 90.00
loop_
_atom_site_label
_atom_site_type_symbol
_atom_site_fract_x
_atom_site_fract_y
_atom_site_fract_z
Pm1 Pm 0.000 0.000 0.176
Tm1 Tm 0.000 0.500 0.000
Sn1 Sn 0.000 0.000 0.367

Verdict on stability: entry Q comes out at the bottom.

Entry P
# PmTmSn (PBE-GGA, optimized geometry)
# - crystal system = tetragonal
# - magnetization (μB/f.u.) = 0.07
data_PmTmSn
_space_group_name_H-M_alt 'I 4 m m'
_space_group_IT_number 107
_space_group_name_Hall 'I 4 -2'
_cell_length_a 3.342
_cell_length_b 3.342
_cell_length_c 17.402
_cell_angle_alpha 90.00
_cell_angle_beta 90.00
_cell_angle_gamma 90.00
loop_
_atom_site_label
_atom_site_type_symbol
_atom_site_fract_x
_atom_site_fract_y
_atom_site_fract_z
Pm1 Pm 0.000 0.000 0.000
Tm1 Tm 0.000 0.000 0.804
Sn1 Sn 0.000 0.000 0.180

Entry Q
# PmTmSn (PBE-GGA, optimized geometry)
# - crystal system = monoclinic
# - magnetization (μB/f.u.) = 0.00
data_PmTmSn
_space_group_name_H-M_alt 'P 1 21/m 1'
_space_group_IT_number 11
_cell_length_a 4.361
_cell_length_b 4.847
_cell_length_c 8.382
_cell_angle_alpha 90.00
_cell_angle_beta 105.15
_cell_angle_gamma 90.00
loop_
_space_group_symop_operation_xyz
'x,y,z'
'-x,-y,-z'
'-x,y+1/2,-z'
'x,-y+1/2,z'
loop_
_atom_site_label
_atom_site_type_symbol
_atom_site_fract_x
_atom_site_fract_y
_atom_site_fract_z
Pm1 Pm 0.074 0.250 0.149
Tm1 Tm 0.252 0.750 0.504
Sn1 Sn 0.393 0.250 0.786

Entry R
# PmTmSn (PBE-GGA, optimized geometry)
# - crystal system = cubic
# - magnetization (μB/f.u.) = 0.00
data_PmTmSn
_space_group_name_H-M_alt 'F -4 3 m'
_space_group_IT_number 216
_space_group_name_Hall 'F -4 2 3'
_cell_length_a 7.303
_cell_length_b 7.303
_cell_length_c 7.303
_cell_angle_alpha 90.00
_cell_angle_beta 90.00
_cell_angle_gamma 90.00
loop_
_atom_site_label
_atom_site_type_symbol
_atom_site_fract_x
_atom_site_fract_y
_atom_site_fract_z
Pm1 Pm 0.000 0.000 0.000
Tm1 Tm 0.000 0.000 0.500
Sn1 Sn 0.250 0.250 0.750

Verdict on stability: entry P comes out at the bottom.

Entry P
# PmY2Sn (PBE-GGA, optimized geometry)
# - crystal system = trigonal
# - magnetization (μB/f.u.) = 0.00
data_PmY2Sn
_space_group_name_H-M_alt 'R 3 m'
_space_group_IT_number 160
_space_group_name_Hall 'R 3 -2"'
_cell_length_a 5.1739
_cell_length_b 5.1739
_cell_length_c 17.1426
_cell_angle_alpha 90.00
_cell_angle_beta 90.00
_cell_angle_gamma 120.00
loop_
_atom_site_label
_atom_site_type_symbol
_atom_site_fract_x
_atom_site_fract_y
_atom_site_fract_z
Pm1 Pm 0.0000 0.0000 0.0000
Y1 Y 0.0000 0.0000 0.2169
Y2 Y 0.0000 0.0000 0.4425
Sn1 Sn 0.0000 0.0000 0.8021

Entry Q
# PmY2Sn (PBE-GGA, optimized geometry)
# - crystal system = monoclinic
# - magnetization (μB/f.u.) = 0.00
data_PmY2Sn
_space_group_name_H-M_alt 'P 1 21/m 1'
_space_group_IT_number 11
_cell_length_a 6.818
_cell_length_b 5.188
_cell_length_c 6.923
_cell_angle_alpha 90.00
_cell_angle_beta 102.35
_cell_angle_gamma 90.00
loop_
_space_group_symop_operation_xyz
'x,y,z'
'-x,-y,-z'
'-x,y+1/2,-z'
'x,-y+1/2,z'
loop_
_atom_site_label
_atom_site_type_symbol
_atom_site_fract_x
_atom_site_fract_y
_atom_site_fract_z
Pm1 Pm 0.085 0.250 0.355
Y1 Y 0.231 0.250 0.886
Y2 Y 0.421 0.750 0.638
Sn1 Sn 0.287 0.750 0.144

Verdict on stability: entry P comes out at the bottom.

Entry P
# PmY2Sn (PBE-GGA, optimized geometry)
# - crystal system = tetragonal
# - magnetization (μB/f.u.) = 0.00
data_PmY2Sn
_space_group_name_H-M_alt 'P 4/m m m'
_space_group_IT_number 123
_space_group_name_Hall '-P 4 2'
_cell_length_a 3.821
_cell_length_b 3.821
_cell_length_c 8.318
_cell_angle_alpha 90.00
_cell_angle_beta 90.00
_cell_angle_gamma 90.00
loop_
_atom_site_label
_atom_site_type_symbol
_atom_site_fract_x
_atom_site_fract_y
_atom_site_fract_z
Pm1 Pm 0.000 0.000 0.000
Y1 Y 0.500 0.500 0.284
Sn1 Sn 0.000 0.000 0.500

Entry Q
# PmY2Sn (PBE-GGA, optimized geometry)
# - crystal system = tetragonal
# - magnetization (μB/f.u.) = 0.00
data_PmY2Sn
_space_group_name_H-M_alt 'P 4/m m m'
_space_group_IT_number 123
_space_group_name_Hall '-P 4 2'
_cell_length_a 4.884
_cell_length_b 4.884
_cell_length_c 4.818
_cell_angle_alpha 90.00
_cell_angle_beta 90.00
_cell_angle_gamma 90.00
loop_
_atom_site_label
_atom_site_type_symbol
_atom_site_fract_x
_atom_site_fract_y
_atom_site_fract_z
Pm1 Pm 0.000 0.000 0.000
Y1 Y 0.000 0.500 0.500
Sn1 Sn 0.500 0.500 0.000

Entry R
# PmY2Sn (PBE-GGA, optimized geometry)
# - crystal system = orthorhombic
# - magnetization (μB/f.u.) = 1.18
data_PmY2Sn
_space_group_name_H-M_alt 'C m c m'
_space_group_IT_number 63
_space_group_name_Hall '-C 2c 2'
_cell_length_a 4.268
_cell_length_b 12.516
_cell_length_c 9.486
_cell_angle_alpha 90.00
_cell_angle_beta 90.00
_cell_angle_gamma 90.00
loop_
_atom_site_label
_atom_site_type_symbol
_atom_site_fract_x
_atom_site_fract_y
_atom_site_fract_z
Pm1 Pm 0.000 0.058 0.250
Y1 Y 0.000 0.362 0.050
Sn1 Sn 0.000 0.244 0.750

Verdict on stability: entry P comes out at the bottom.

Entry P
# Pm2Zn3Sn2 (PBE-GGA, optimized geometry)
# - crystal system = monoclinic
# - magnetization (μB/f.u.) = 0.00
data_Pm2Zn3Sn2
_space_group_name_H-M_alt 'C 1 2/m 1'
_space_group_IT_number 12
_cell_length_a 11.177
_cell_length_b 4.505
_cell_length_c 6.832
_cell_angle_alpha 90.00
_cell_angle_beta 111.63
_cell_angle_gamma 90.00
loop_
_space_group_symop_operation_xyz
'x,y,z'
'-x,-y,-z'
'-x,y,-z'
'x,-y,z'
'x+1/2,y+1/2,z'
'-x+1/2,-y+1/2,-z'
'-x+1/2,y+1/2,-z'
'x+1/2,-y+1/2,z'
loop_
_atom_site_label
_atom_site_type_symbol
_atom_site_fract_x
_atom_site_fract_y
_atom_site_fract_z
Pm1 Pm 0.143 0.000 0.266
Zn1 Zn 0.000 0.500 0.500
Zn2 Zn 0.078 0.500 0.910
Sn1 Sn 0.156 0.000 0.757

Entry Q
# Pm2Zn3Sn2 (PBE-GGA, optimized geometry)
# - crystal system = orthorhombic
# - magnetization (μB/f.u.) = 0.00
data_Pm2Zn3Sn2
_space_group_name_H-M_alt 'C m m m'
_space_group_IT_number 65
_space_group_name_Hall '-C 2 2'
_cell_length_a 4.257
_cell_length_b 20.152
_cell_length_c 4.283
_cell_angle_alpha 90.00
_cell_angle_beta 90.00
_cell_angle_gamma 90.00
loop_
_atom_site_label
_atom_site_type_symbol
_atom_site_fract_x
_atom_site_fract_y
_atom_site_fract_z
Pm1 Pm 0.000 0.158 0.000
Zn1 Zn 0.000 0.000 0.000
Zn2 Zn 0.000 0.439 0.500
Sn1 Sn 0.000 0.300 0.500

Verdict on stability: entry Q comes out at the bottom.

Entry P
# Pm2Zn2Sn (PBE-GGA, optimized geometry)
# - crystal system = monoclinic
# - magnetization (μB/f.u.) = 0.00
data_Pm2Zn2Sn
_space_group_name_H-M_alt 'C 1 2/m 1'
_space_group_IT_number 12
_cell_length_a 11.150
_cell_length_b 4.560
_cell_length_c 10.884
_cell_angle_alpha 90.00
_cell_angle_beta 116.65
_cell_angle_gamma 90.00
loop_
_space_group_symop_operation_xyz
'x,y,z'
'-x,-y,-z'
'-x,y,-z'
'x,-y,z'
'x+1/2,y+1/2,z'
'-x+1/2,-y+1/2,-z'
'-x+1/2,y+1/2,-z'
'x+1/2,-y+1/2,z'
loop_
_atom_site_label
_atom_site_type_symbol
_atom_site_fract_x
_atom_site_fract_y
_atom_site_fract_z
Pm1 Pm 0.010 0.000 0.329
Pm2 Pm 0.183 0.000 0.093
Zn1 Zn 0.027 0.500 0.891
Zn2 Zn 0.131 0.500 0.554
Sn1 Sn 0.223 0.500 0.334

Entry Q
# Pm2Zn2Sn (PBE-GGA, optimized geometry)
# - crystal system = tetragonal
# - magnetization (μB/f.u.) = 0.00
data_Pm2Zn2Sn
_space_group_name_H-M_alt 'P 4/m b m'
_space_group_IT_number 127
_space_group_name_Hall '-P 4 2ab'
_cell_length_a 7.264
_cell_length_b 7.264
_cell_length_c 4.595
_cell_angle_alpha 90.00
_cell_angle_beta 90.00
_cell_angle_gamma 90.00
loop_
_atom_site_label
_atom_site_type_symbol
_atom_site_fract_x
_atom_site_fract_y
_atom_site_fract_z
Pm1 Pm 0.174 0.326 0.000
Zn1 Zn 0.122 0.622 0.500
Sn1 Sn 0.000 0.000 0.500

Verdict on stability: entry P comes out at the bottom.